No. 1
The following is a DFT calculation (PBE) of an optimized crystal structure of CeAgH6Ir.

Cell: 4.8563 4.8563 4.3913 Å, 90.00 90.00 120.00°
Space group P312 (No. 149)
One atom of each set of equivalent atoms:
Ce: 0.0000 0.0000 0.0000 (multiplicity 1)
Ag: 0.3333 0.6667 0.5000 (multiplicity 1)
H: 0.5199 0.0420 0.7747 (multiplicity 6)
Ir: 0.6667 0.3333 0.5000 (multiplicity 1)

Computed properties:
Total magnetic moment   1.06 Bohr magnetons per cell
E_tot   -4.403 eV per atom

No. 2
The following is a DFT calculation (PBE) of an optimized crystal structure of ZrScCu.

Cell: 4.5572 4.5572 3.2933 Å, 90.00 90.00 120.00°
Space group P3m1 (No. 156)
One atom of each set of equivalent atoms:
Zr: 0.0000 0.0000 0.0000 (multiplicity 1)
Sc: 0.3333 0.6667 0.5465 (multiplicity 1)
Cu: 0.6667 0.3333 0.2653 (multiplicity 1)

Computed properties:
Total magnetic moment   0.00 Bohr magnetons per cell
Formation energy   0.096 eV per atom

No. 3
The following is a DFT calculation (PBE) of an optimized crystal structure of Tb6Pr2Sc.

Cell: 16.442 11.594 6.090 Å, 90.00 97.01 90.00°
Space group C2/c (No. 15)
One atom of each set of equivalent atoms:
Tb: 0.049 0.142 0.011 (multiplicity 8)
Tb: 0.107 0.367 0.328 (multiplicity 8)
Tb: 0.204 0.364 0.865 (multiplicity 8)
Pr: 0.172 0.105 0.561 (multiplicity 8)
Sc: 0.000 0.396 0.750 (multiplicity 4)

Computed properties:
Total magnetic moment   0.00 Bohr magnetons per cell
Formation energy   0.098 eV per atom

No. 4
The following is a DFT calculation (PBE) of an optimized crystal structure of SrMg3Au.

Cell: 5.230 5.230 5.230 Å, 90.00 90.00 90.00°
Space group Pm-3m (No. 221)
One atom of each set of equivalent atoms:
Sr: 0.000 0.000 0.000 (multiplicity 1)
Mg: 0.000 0.500 0.500 (multiplicity 3)
Au: 0.500 0.500 0.500 (multiplicity 1)

Computed properties:
Total magnetic moment   0.00 Bohr magnetons per cell
Formation energy   -0.258 eV per atom

No. 5
The following is a DFT calculation (PBE) of an optimized crystal structure of MnAsAu2.

Cell: 6.572 6.572 6.572 Å, 90.00 90.00 90.00°
Space group F-43m (No. 216)
One atom of each set of equivalent atoms:
Mn: 0.000 0.000 0.000 (multiplicity 4)
As: 0.250 0.250 0.750 (multiplicity 4)
Au: 0.000 0.000 0.500 (multiplicity 4)
Au: 0.250 0.250 0.250 (multiplicity 4)

Computed properties:
Total magnetic moment   15.94 Bohr magnetons per cell
Formation energy   0.155 eV per atom

No. 6
The following is a DFT calculation (PBE) of an optimized crystal structure of ZnTc2O.

Cell: 5.866 5.866 5.866 Å, 90.00 90.00 90.00°
Space group Fm-3m (No. 225)
One atom of each set of equivalent atoms:
Zn: 0.000 0.000 0.000 (multiplicity 4)
Tc: 0.250 0.250 0.250 (multiplicity 8)
O: 0.000 0.000 0.500 (multiplicity 4)

Computed properties:
Total magnetic moment   0.01 Bohr magnetons per cell
E_tot   -6.110 eV per atom

What did the sixth record say?
The following is a DFT calculation (PBE) of an optimized crystal structure of ZnTc2O.

Cell: 5.866 5.866 5.866 Å, 90.00 90.00 90.00°
Space group Fm-3m (No. 225)
One atom of each set of equivalent atoms:
Zn: 0.000 0.000 0.000 (multiplicity 4)
Tc: 0.250 0.250 0.250 (multiplicity 8)
O: 0.000 0.000 0.500 (multiplicity 4)

Computed properties:
Total magnetic moment   0.01 Bohr magnetons per cell
E_tot   -6.110 eV per atom

Q: Look up the total magnetic moment of the first one.
A: 1.06 Bohr magnetons per cell

Q: Which formula does entry 2 have?
A: ZrScCu